{
  "formula": "Li2NiSnO4",
  "functional": "PBE with a Hubbard U",
  "state": "relaxed",
  "lattice_angstrom": [[-5.9281, 1.4101, 0.1648], [1.7225, -5.7586, -1.0147], [-3.3562, -1.9627, 4.6949]],
  "species": ["O", "O", "O", "O", "O", "O", "O", "O", "Sn", "Sn", "Li", "Li", "Li", "Li", "Ni", "Ni"],
  "fractional_positions": [[0.0131, 0.2592, 0.7276], [0.5111, 0.2614, 0.7497], [0.5131, 0.7408, 0.7461], [0.0111, 0.2607, 0.2503], [0.4869, 0.2592, 0.2539], [0.9889, 0.7393, 0.7497], [0.9869, 0.7408, 0.2724], [0.4889, 0.7386, 0.2503], [0.5000, 0.5000, 0.0000], [0.0000, 0.5000, 0.5000], [0.5000, 0.0000, 0.5000], [0.5000, 0.0000, 0.0000], [0.0000, 0.5000, 0.0000], [0.0000, 0.0000, 0.0000], [0.0000, 0.0000, 0.5000], [0.5000, 0.5000, 0.5000]],
  "energy_ev_per_cell": -87.136,
  "de_polymorph_mev_per_atom": 0,
  "m_tot_mub_per_fu": 2.000
}